Entry 1:
Density functional theory data (PBE-GGA) for a geometry-optimized AlCr2Co structure.

The magnetic moment comes out at 1.66 Bohr magnetons per cell. The energy of formation is -0.0731 eV per atom. The calculation puts the density of states at the Fermi level at 5.091 states/eV/cell. The uncorrected energy is -60.78 eV for the cell shown.

The structure belongs to space group Imm2 (No. 44); the cell edges are 2.982, 4.139 and 7.875 Å and the angles 90.00°, 90.00° and 90.00°. Symmetry generates all atoms from Al at (0.000, 0.000, 0.000), Cr at (0.000, 0.000, 0.495), Cr at (0.000, 0.500, 0.770) and Co at (0.000, 0.500, 0.247).

Entry 2:
Density functional theory data (PBE-GGA) for a geometry-optimized Ac6DyCd2 structure.

The magnetic moment comes out at 0.00 Bohr magnetons per cell. The energy of formation is -0.0978 eV per atom. The calculation puts the density of states at the Fermi level at 21.150 states/eV/cell. The uncorrected energy is -63.93 eV for the cell shown.

The structure belongs to space group C2/m (No. 12); the cell edges are 13.862, 4.032 and 13.020 Å and the angles 90.00°, 108.20° and 90.00°. Symmetry generates all atoms from Ac at (0.029, 0.000, 0.330), Ac at (0.180, 0.500, 0.879), Ac at (0.187, 0.500, 0.593), Dy at (0.000, 0.000, 0.000) and Cd at (0.140, 0.500, 0.181).

Entry 3:
Density functional theory data (PBE-GGA) for a geometry-optimized KCo2Te2 structure.

The magnetic moment comes out at 4.10 Bohr magnetons per cell. For the energy relative to the elements, uncorrected, the calculation gives -0.29 eV/atom. The calculation puts the density of states at the Fermi level at 6.978 states/eV/cell. The uncorrected energy is -46.08 eV for the cell shown.

The structure belongs to space group I4/mmm (No. 139); the cell edges are 4.095, 4.095 and 14.336 Å and the angles 90.00°, 90.00° and 90.00°. Symmetry generates all atoms from K at (0.000, 0.000, 0.000), Co at (0.000, 0.500, 0.250) and Te at (0.000, 0.000, 0.351).

What is the uncorrected energy in the first record?
-60.78 eV for the cell shown

What is the formula in the third record?
KCo2Te2